(1)
Here is InCoSi4 after structural relaxation from Alexandria. Energies are from GGA-PBE.

Geometry as extended XYZ:
```
6
Lattice="0.000 3.630 3.630 3.630 0.000 3.630 3.630 3.630 0.000" Properties=species:S:1:pos:R:3 pbc="T T T"
In 0.000 0.000 0.000
Co 5.445 5.445 5.445
Si 2.731 2.731 2.731
Si 4.529 4.529 2.731
Si 4.529 2.731 4.529
Si 2.731 4.529 4.529
```

Values from the calculation:
* crystal system: cubic
* raw formation energy: 59 kJ/mol of atoms
* total moment: 1.44 μB/cell
* electronic total energy: -4.645 eV/atom
* theoretical density: 4.97 g/cm³

(2)
Here is SmHo3Pt after structural relaxation from Alexandria. Energies are from GGA-PBE.

Geometry as extended XYZ:
```
10
Lattice="6.479 0.000 0.000 0.000 5.078 0.000 -1.015 0.000 8.652" Properties=species:S:1:pos:R:3 pbc="T T T"
Sm 0.393 1.269 2.478
Sm 5.070 3.808 6.174
Ho 0.753 1.269 6.426
Ho 1.800 3.808 0.490
Ho 1.634 3.808 4.155
Ho 3.829 1.269 4.497
Ho 3.664 1.269 8.162
Ho 4.711 3.808 2.226
Pt 2.239 3.808 6.833
Pt 3.224 1.269 1.819
```

Values from the calculation:
* crystal system: monoclinic
* total moment: 0.00 μB/cell
* energy above the lowest structure with this stoichiometry: 0.0 kJ per mole of atoms
* electronic total energy: -5.372 eV/atom
* energy of formation: -0.474 eV per atom
* theoretical density: 9.80 g/cm³

(3)
Here is Hf2Sn4Pd after structural relaxation from Alexandria. Energies are from GGA-PBE.

Geometry as extended XYZ:
```
7
Lattice="-2.602 2.602 7.010 2.602 -2.602 7.010 2.602 2.602 -7.010" Properties=species:S:1:pos:R:3 pbc="T T T"
Hf 0.000 0.000 1.476
Hf 0.000 0.000 12.545
Sn 2.602 0.000 0.000
Sn 0.000 0.000 4.368
Sn 0.000 2.602 0.000
Sn 0.000 0.000 9.653
Pd 0.000 0.000 7.010
```

Values from the calculation:
* crystal system: tetragonal
* total moment: 0.00 μB/cell
* energy above the lowest structure with this stoichiometry: 37.8 kJ per mole of atoms
* electronic total energy: -5.699 eV/atom
* energy of formation: 0.174 eV per atom
* theoretical density: 8.21 g/cm³